VASP calculation (PBE-GGA) on a geometry-optimized Tb3Pm2NdTm6 structure.

Cell: 6.1565 6.1565 11.6770 Å, 95.03 95.03 119.97°
Atoms (fractional coordinates):
Tm 0.2488 0.2488 0.7476
Tm 0.9153 0.5819 0.7476
Tm 0.0847 0.4181 0.2524
Tm 0.5819 0.9153 0.7476
Tm 0.7512 0.7512 0.2524
Tm 0.4181 0.0847 0.2524
Pm 0.3333 0.6667 0.0000
Pm 0.6667 0.3333 0.0000
Tb 0.8333 0.1667 0.5000
Tb 0.5000 0.5000 0.5000
Tb 0.1667 0.8333 0.5000
Nd 0.0000 0.0000 0.0000

Values from the calculation:
energy relative to the elements = 0.020 eV/atom